[1]
A geometry-optimized Na2PmRuO6 structure. Source: Alexandria via LeMat-Bulk, functional PBE.

Calculated values
Calculated volume ... 13.46 Å³/atom
ΔE_f (raw) ... -1.6507 eV/atom

abc: 5.675 5.830 8.136
angles: 90.00 90.61 90.00
Each line ends with the local moment (μB).
Fractional coordinates of all 20 atoms:
Na: 0.011 0.956 0.251  0.00
Na: 0.511 0.544 0.751  0.00
Na: 0.989 0.044 0.749  0.00
Na: 0.489 0.456 0.249  0.00
Pm: 0.500 0.000 0.000  0.00
Pm: 0.000 0.500 0.500  0.00
Ru: 0.500 0.000 0.500  0.13
Ru: 0.000 0.500 0.000  0.13
O: 0.273 0.678 0.047  0.01
O: 0.773 0.822 0.547  0.01
O: 0.727 0.322 0.953  0.01
O: 0.227 0.178 0.453  0.01
O: 0.329 0.728 0.444  0.01
O: 0.829 0.772 0.944  0.01
O: 0.671 0.272 0.556  0.01
O: 0.171 0.228 0.056  0.01
O: 0.904 0.534 0.223  0.01
O: 0.404 0.966 0.723  0.01
O: 0.096 0.466 0.777  0.01
O: 0.596 0.034 0.277  0.01


[2]
A geometry-optimized Na3PmS4O12 structure. Source: Alexandria via LeMat-Bulk, functional PBE.

Calculated values
Calculated volume ... 14.06 Å³/atom
ΔE_f (raw) ... -1.2876 eV/atom

abc: 6.875 6.875 6.875
angles: 105.48 105.48 105.48
Fractional coordinates of all 20 atoms:
Na: 0.564 0.436 0.000
Na: 0.436 0.000 0.564
Na: 0.000 0.564 0.436
Pm: 0.000 0.000 0.000
S: 0.915 0.085 0.500
S: 0.085 0.500 0.915
S: 0.500 0.915 0.085
S: 0.500 0.500 0.500
O: 0.500 0.369 0.631
O: 0.946 0.500 0.054
O: 0.054 0.946 0.500
O: 0.500 0.054 0.946
O: 0.343 0.003 0.207
O: 0.207 0.343 0.003
O: 0.003 0.207 0.343
O: 0.657 0.793 0.997
O: 0.997 0.657 0.793
O: 0.793 0.997 0.657
O: 0.631 0.500 0.369
O: 0.369 0.631 0.500


[3]
A geometry-optimized Na2PmSO4 structure. Source: Alexandria via LeMat-Bulk, functional PBE.

Calculated values
Calculated volume ... 13.25 Å³/atom
ΔE_f (raw) ... -1.6083 eV/atom

abc: 5.174 5.174 5.174
angles: 104.40 112.07 112.07
Each line ends with the local moment (μB).
Fractional coordinates of all 8 atoms:
Na: 0.500 0.750 0.250  0.00
Na: 0.000 0.000 0.000  0.00
Pm: 0.500 0.250 0.750  0.00
S: 0.000 0.500 0.500  0.27
O: 0.541 0.250 0.310  0.12
O: 0.059 0.291 0.750  0.12
O: 0.941 0.690 0.232  0.12
O: 0.459 0.768 0.709  0.12